Entry 1:
YTm2Be after structural relaxation. Source: Alexandria via LeMat-Bulk, functional GGA-PBE.

Values from the calculation:
Its calculated formation energy is 0.054 eV/atom. For the spin magnetization, the calculation gives 0.0000 μB/atom. The total DFT energy (no corrections) comes out at -4.73 eV per atom.

a = 3.431 Å, b = 3.431 Å, c = 8.543 Å
α = 90.00°, β = 90.00°, γ = 90.00°
Space group P4/mmm (No. 123)
One atom of each set of equivalent atoms:
1 Y 0.000 0.000 0.000 [1 per cell]
2 Tm 0.500 0.500 0.310 [2 per cell]
3 Be 0.000 0.000 0.500 [1 per cell]



Entry 2:
Mg5Be after structural relaxation. Source: Alexandria via LeMat-Bulk, functional GGA-PBE.

Values from the calculation:
Its calculated formation energy is 0.194 eV/atom. For the spin magnetization, the calculation gives 0.0000 μB/atom. The total DFT energy (no corrections) comes out at -1.76 eV per atom.

a = 4.155 Å, b = 13.046 Å, c = 4.445 Å
α = 90.00°, β = 90.00°, γ = 90.00°
Space group Cmmm (No. 65)
One atom of each set of equivalent atoms:
1 Mg 0.000 0.000 0.000 [2 per cell]
2 Mg 0.000 0.153 0.500 [4 per cell]
3 Mg 0.000 0.339 0.000 [4 per cell]
4 Be 0.000 0.500 0.500 [2 per cell]